First-principles (GGA-PBE) data for a relaxed Y2Al2Tc crystal, as listed in the Alexandria database.

a = 7.023 Å, b = 7.023 Å, c = 4.375 Å
α = 90.00°, β = 90.00°, γ = 90.00°
Sites, in units of the cell vectors:
Y 0.177 0.677 0.500
Y 0.677 0.823 0.500
Y 0.823 0.323 0.500
Y 0.323 0.177 0.500
Tc 0.000 0.000 0.000
Tc 0.500 0.500 0.000
Al 0.367 0.867 0.000
Al 0.867 0.633 0.000
Al 0.633 0.133 0.000
Al 0.133 0.367 0.000

VASP energy = -6.328 eV per atom
Space group = P4/mbm
E_form = -0.1725 eV per atom